1.
! Na3Mg4 PBE optimized geometry; values from VASP
! Formation energy (eV per atom): 0.0666
! Space-group type: I4/mmm (139)
! Polymorph energy (0 for the lowest one) (meV/atom): 0.0
&SYSTEM
  ibrav = 0, nat = 7, ntyp = 2
/
ATOMIC_SPECIES
Na 22.99 Na.upf
Mg 24.30 Mg.upf
ATOMIC_POSITIONS angstrom
Na 0.000 0.000 0.000
Na 0.000 0.000 25.835
Na 0.000 0.000 10.679
Mg 0.000 0.000 31.560
Mg 0.000 0.000 4.954
Mg 0.000 0.000 20.992
Mg 0.000 0.000 15.522
CELL_PARAMETERS angstrom
-1.633 1.633 18.257
1.633 -1.633 18.257
1.633 1.633 -18.257


2.
! Zr2HgSb PBE optimized geometry; values from VASP
! Space-group type: Pm (6)
! Formation energy without anion corrections (eV/atom): -0.273
! Polymorph energy (0 for the lowest one) (meV/atom): 80.5
&SYSTEM
  ibrav = 0, nat = 4, ntyp = 3
/
ATOMIC_SPECIES
Hg 200.59 Hg.upf
Sb 121.76 Sb.upf
Zr 91.22 Zr.upf
ATOMIC_POSITIONS angstrom
Hg 0.000 2.351 2.168
Sb 2.595 2.597 4.579
Zr 0.000 0.968 4.878
Zr 2.595 0.881 1.953
CELL_PARAMETERS angstrom
5.189 0.000 0.000
0.000 3.208 0.023
0.000 0.794 5.418


3.
! TaTeAs2 PBE optimized geometry; values from VASP
! Space-group type: I-42d (122)
! Formation energy without anion corrections (eV/atom): 0.447
&SYSTEM
  ibrav = 0, nat = 8, ntyp = 3
/
ATOMIC_SPECIES
As 74.92 As.upf
Te 127.60 Te.upf
Ta 180.95 Ta.upf
ATOMIC_POSITIONS angstrom
As 5.177 1.601 1.451
As 1.229 4.804 1.451
As 4.804 4.431 4.352
As 8.007 8.379 4.352
Te 3.203 3.203 0.000
Te 3.203 6.405 2.902
Ta 0.000 0.000 0.000
Ta 6.405 3.203 2.902
CELL_PARAMETERS angstrom
6.405 0.000 0.000
0.000 6.405 0.000
3.203 3.203 5.803


4.
! LiAc8Pb6 PBE optimized geometry; values from VASP
! Formation energy (eV per atom): -0.3748
! Space-group type: R-3 (148)
&SYSTEM
  ibrav = 0, nat = 15, ntyp = 3
/
ATOMIC_SPECIES
Li 6.94 Li.upf
Ac 227.00 Ac.upf
Pb 207.20 Pb.upf
ATOMIC_POSITIONS angstrom
Li 0.000 0.000 0.000
Ac -3.591 -8.203 -2.145
Ac -4.464 -12.492 -1.026
Ac 0.662 -9.719 -2.303
Ac -2.682 -18.006 -4.741
Ac -2.026 -4.562 -3.000
Ac -5.370 -12.849 -5.438
Ac -0.243 -10.077 -6.714
Ac -1.117 -14.365 -5.596
Pb -1.812 -10.380 -0.131
Pb -6.036 -10.268 -3.159
Pb -1.052 -7.679 -4.508
Pb -3.655 -14.889 -3.233
Pb 1.328 -12.300 -4.582
Pb -2.896 -12.189 -7.610
CELL_PARAMETERS angstrom
-7.079 -7.032 -1.485
0.991 -6.643 -7.526
1.380 -8.893 1.271


For reference, magnetization by record: 0.00, 0.00, 0.00, 0.00 Bohr magnetons per cell.